Entry 1:
K3TmF6 at its PBEsol-relaxed geometry, computed with meta-GGA SCAN.

Computed properties:
Raw total energy (eV/atom): -13.31
Energy relative to the elements, uncorrected (eV/atom): -3.502
SG: Fm-3m (225)

Structure (extended XYZ):
```
10
Lattice="6.479 0.000 0.000 3.240 5.611 0.000 3.240 1.870 5.290" Properties=species:S:1:pos:R:3 pbc="T T T"
K 3.240 1.870 1.323
F 6.479 1.722 1.218
F 4.731 4.750 1.218
K 6.479 3.741 2.645
F 6.479 5.760 4.073
F 4.731 2.731 4.073
K 9.719 5.611 3.968
F 8.228 4.750 1.218
F 8.228 2.731 4.073
Tm 0.000 0.000 0.000
```

Entry 2:
La6Cu6O17 at its PBEsol-relaxed geometry, computed with meta-GGA SCAN.

Computed properties:
Raw total energy (eV/atom): -18.00
Energy relative to the elements, uncorrected (eV/atom): -2.285
SG: P312 (149)

Structure (extended XYZ):
```
29
Lattice="6.642 0.000 0.000 -3.321 5.752 0.000 0.000 0.000 10.363" Properties=species:S:1:pos:R:3 pbc="T T T"
O 0.878 1.858 3.557
La 3.321 1.917 3.025
La 3.321 1.917 7.338
Cu 0.000 1.887 5.181
La 0.000 3.835 7.816
Cu 3.321 0.054 0.000
La 0.000 0.000 8.036
O 4.375 0.064 8.853
O 0.000 3.835 0.000
O -0.878 1.858 6.806
O 0.000 0.000 5.181
La 0.000 3.835 2.547
O -1.273 5.583 6.806
La 0.000 0.000 2.326
O 1.189 1.931 8.853
O 5.453 1.931 1.509
O 4.399 3.757 8.853
O 2.267 0.064 1.509
O 0.000 3.835 5.181
O 2.243 3.757 1.509
Cu -1.687 4.809 5.181
O 2.151 4.063 6.806
Cu 1.707 2.849 0.000
O 3.321 1.917 0.000
O -2.151 4.063 3.557
Cu 4.935 2.849 0.000
O 3.321 1.917 5.181
O 1.273 5.583 3.557
Cu 1.687 4.809 5.181
```

Entry 3:
LiIn at its PBEsol-relaxed geometry, computed with meta-GGA SCAN.

Computed properties:
Raw total energy (eV/atom): -18.20
ΔH_f (0 K) (eV per atom): -0.315
SG: Imma (74)

Structure (extended XYZ):
```
4
Lattice="3.764 0.000 0.000 0.000 4.523 0.000 -1.882 -2.262 4.601" Properties=species:S:1:pos:R:3 pbc="T T T"
Li 0.000 1.131 3.423
In 1.882 -1.131 3.497
In 0.000 3.393 1.104
Li 1.882 1.131 1.178
```

Entry 4:
AgW2Br at its PBEsol-relaxed geometry, computed with meta-GGA SCAN.

Computed properties:
Raw total energy (eV/atom): -45.99
Energy relative to the elements, uncorrected (eV/atom): 1.560
SG: I4/mmm (139)

Structure (extended XYZ):
```
4
Lattice="3.807 0.000 0.000 0.000 3.807 0.000 -1.903 -1.903 4.796" Properties=species:S:1:pos:R:3 pbc="T T T"
Ag 1.903 1.903 0.000
W 0.000 1.903 2.398
Br 0.000 0.000 0.000
W 1.903 0.000 2.398
```

Entry 5:
Ca5Bi6Cl12O8 at its PBEsol-relaxed geometry, computed with meta-GGA SCAN.

Computed properties:
Raw total energy (eV/atom): -23.42
Energy relative to the elements, uncorrected (eV/atom): -1.957
SG: Immm (71)

Structure (extended XYZ):
```
31
Lattice="5.492 0.000 0.000 0.000 11.032 0.000 -2.746 -5.516 10.800" Properties=species:S:1:pos:R:3 pbc="T T T"
Cl 2.746 0.000 7.996
Bi 0.000 2.820 4.214
Cl 2.746 2.570 2.663
Cl 0.000 2.654 0.000
O 4.084 4.110 5.411
Cl 0.000 0.000 2.704
Bi 0.000 0.000 6.565
O 4.084 6.921 5.411
Ca 2.746 8.072 0.000
Cl 2.746 5.516 8.096
Cl 2.746 0.000 0.000
Ca 0.000 0.000 0.000
O -1.338 1.405 5.389
Bi 2.746 2.696 6.587
Cl 2.746 5.516 0.000
Ca 0.000 5.516 6.656
Cl 2.746 8.462 2.663
Bi 2.746 -2.696 6.587
O 1.338 1.405 5.389
Ca 2.746 2.960 0.000
Ca 2.746 0.000 4.144
O 1.408 4.110 5.411
O 1.338 -1.405 5.389
Cl 0.000 5.516 2.804
Cl 0.000 8.378 0.000
Cl 0.000 -2.946 8.137
Bi 0.000 8.211 4.214
Cl 0.000 2.946 8.137
O -1.338 -1.405 5.389
Bi 2.746 5.516 4.235
O 1.408 6.921 5.411
```

Entry 6:
Mn3AlI at its PBEsol-relaxed geometry, computed with meta-GGA SCAN.

Computed properties:
Raw total energy (eV/atom): -19.24
Energy relative to the elements, uncorrected (eV/atom): 0.607
SG: Pm-3m (221)

Structure (extended XYZ):
```
5
Lattice="4.685 0.000 0.000 0.000 4.685 0.000 0.000 0.000 4.685" Properties=species:S:1:pos:R:3 pbc="T T T"
Mn 0.000 2.343 0.000
Mn 2.343 0.000 0.000
I 2.343 2.343 2.343
Al 0.000 0.000 0.000
Mn 0.000 0.000 2.343
```

Entry 7:
CaY2CrBi at its PBEsol-relaxed geometry, computed with meta-GGA SCAN.

Computed properties:
Raw total energy (eV/atom): -32.34
ΔH_f (0 K) (eV per atom): 0.127
SG: P4/mmm (123)

Structure (extended XYZ):
```
5
Lattice="5.153 0.000 0.000 0.000 5.153 0.000 0.000 0.000 5.278" Properties=species:S:1:pos:R:3 pbc="T T T"
Ca 2.576 2.576 2.639
Cr 0.000 0.000 0.000
Y 0.000 2.576 0.000
Bi 0.000 0.000 2.639
Y 2.576 0.000 0.000
```

Entry 8:
SrBe2Sb at its PBEsol-relaxed geometry, computed with meta-GGA SCAN.

Computed properties:
Raw total energy (eV/atom): -16.78
Energy relative to the elements, uncorrected (eV/atom): 0.285
SG: P4mm (99)

Structure (extended XYZ):
```
4
Lattice="-1.725 -0.121 -2.896 -1.357 -2.944 0.932 -5.282 3.388 3.006" Properties=species:S:1:pos:R:3 pbc="T T T"
Sr -2.735 -0.767 -0.302
Be -4.827 3.096 2.747
Be -5.727 1.152 1.400
Sb -3.000 1.924 1.707
```